Density functional theory data (PBE) for KSi2As after structural relaxation.

Lattice parameters (Å, degrees): 4.937 4.937 4.937 60.00 60.00 60.00
Fractional positions:
1 As 0.500 0.500 0.500
2 K 0.750 0.750 0.750
3 Si 0.000 0.000 0.000
4 Si 0.250 0.250 0.250

Computed properties:
E_form (uncorrected)   2.7 eV per formula unit